Entry from OQMD: Cd2In after structural relaxation (GGA-PBE).

Cell: 4.802 4.802 4.802 Å, 60.00 60.00 60.00°
Atoms (fractional coordinates):
Cd 0.250 0.250 0.250
Cd 0.750 0.750 0.750
In 0.000 0.000 0.000

V in Å³/atom: 26.1
Crystal system: cubic
Space group: No. 225
E in eV for the cell shown: -4.31


Entry from OQMD: CsSm2Cu3Se5 after structural relaxation (GGA-PBE).

Cell: 7.668 7.668 17.723 Å, 90.00 90.00 148.31°
Atoms (fractional coordinates):
Cs 0.061 0.939 0.750
Cs 0.939 0.061 0.250
Sm 0.192 0.808 0.090
Sm 0.192 0.808 0.410
Sm 0.808 0.192 0.590
Sm 0.808 0.192 0.910
Cu 0.340 0.660 0.750
Cu 0.415 0.585 0.029
Cu 0.415 0.585 0.471
Cu 0.585 0.415 0.529
Cu 0.585 0.415 0.971
Cu 0.660 0.340 0.250
Se 0.165 0.835 0.571
Se 0.165 0.835 0.929
Se 0.236 0.764 0.250
Se 0.442 0.558 0.611
Se 0.442 0.558 0.889
Se 0.558 0.442 0.111
Se 0.558 0.442 0.389
Se 0.764 0.236 0.750
Se 0.835 0.165 0.071
Se 0.835 0.165 0.429

V in Å³/atom: 24.9
Crystal system: orthorhombic
Space group: No. 63
E in eV for the cell shown: -102.45
Size of the total moment in μB/cell: 0.00


Entry from OQMD: TcGe after structural relaxation (GGA-PBE).

Cell: 4.915 4.915 4.915 Å, 90.00 90.00 90.00°
Atoms (fractional coordinates):
Tc 0.116 0.116 0.116
Tc 0.384 0.884 0.616
Tc 0.616 0.384 0.884
Tc 0.884 0.616 0.384
Ge 0.094 0.594 0.906
Ge 0.406 0.406 0.406
Ge 0.594 0.906 0.094
Ge 0.906 0.094 0.594

V in Å³/atom: 14.8
Crystal system: cubic
Space group: No. 198
Polymorph energy (0 for the lowest one) in eV per formula unit: 0.00
E in eV for the cell shown: -61.38
Size of the total moment in μB/cell: 0.01


Entry from OQMD: Zr4SnSN2 after structural relaxation (GGA-PBE).

Cell: 3.369 3.369 13.245 Å, 90.00 90.00 120.00°
Atoms (fractional coordinates):
Zr 0.000 0.000 0.138
Zr 0.000 0.000 0.862
Zr 0.667 0.333 0.320
Zr 0.667 0.333 0.680
Sn 0.000 0.000 0.500
S 0.667 0.333 0.000
N 0.333 0.667 0.231
N 0.333 0.667 0.769

V in Å³/atom: 16.3
Crystal system: hexagonal
Space group: No. 187
E in eV for the cell shown: -69.81
Size of the total moment in μB/cell: 0.00


Entry from OQMD: BaMgTaCo after structural relaxation (GGA-PBE).

Cell: 4.860 4.860 4.860 Å, 60.00 60.00 60.00°
Atoms (fractional coordinates):
Ba 0.000 0.000 0.000
Mg 0.750 0.750 0.750
Ta 0.250 0.250 0.250
Co 0.500 0.500 0.500

V in Å³/atom: 20.3
Crystal system: cubic
Space group: No. 216
Polymorph energy (0 for the lowest one) in eV per formula unit: 0.00
E in eV for the cell shown: -18.49
Size of the total moment in μB/cell: 0.01


Entry from OQMD: LiZnSn after structural relaxation (GGA-PBE).

Cell: 4.490 4.490 4.490 Å, 60.00 60.00 60.00°
Atoms (fractional coordinates):
Li 0.000 0.000 0.000
Zn 0.500 0.500 0.500
Sn 0.250 0.250 0.250

V in Å³/atom: 21.3
Crystal system: cubic
Space group: No. 216
E in eV for the cell shown: -7.53